(A)
## La2MoN4 (GGA-PBE)

Data for an optimized crystal structure of La2MoN4.

Geometry as POSCAR:
```
La2MoN4
1.0
-1.996 1.996 6.375
1.996 -1.996 6.375
1.996 1.996 -6.375
La Mo N
2 1 4
direct
0.144 0.144 0.000
0.856 0.856 0.000
0.500 0.500 0.000
0.000 0.500 0.500
0.335 0.335 0.000
0.500 0.000 0.500
0.665 0.665 0.000
```

## Properties
magnetic moment: 0.00 μB/f.u.

(B)
## La2MoN4 (GGA-PBE)

Data for an optimized crystal structure of La2MoN4.

Geometry as POSCAR:
```
La2MoN4
1.0
6.006 0.000 0.000
0.000 6.008 0.000
-2.363 0.000 6.708
La Mo N
4 2 8
direct
0.183 0.250 0.021
0.275 0.250 0.560
0.725 0.750 0.440
0.817 0.750 0.979
0.260 0.750 0.802
0.740 0.250 0.198
0.049 0.508 0.739
0.049 0.992 0.739
0.437 0.750 0.071
0.472 0.750 0.659
0.528 0.250 0.341
0.563 0.250 0.929
0.951 0.008 0.261
0.951 0.492 0.261
```

## Properties
magnetic moment: 0.00 μB/f.u.

(B) is favored, and the nearest alternative lies 39 meV per atom above it.

(A)
## LaMoS2N (GGA-PBE)

Data for an optimized crystal structure of LaMoS2N.

Geometry as POSCAR:
```
LaMoS2N
1.0
4.876 0.000 0.000
0.000 4.876 0.000
0.000 0.000 3.875
La Mo S N
1 1 2 1
direct
0.000 0.000 0.000
0.500 0.500 0.500
0.000 0.500 0.500
0.500 0.000 0.500
0.500 0.500 0.000
```

## Properties
magnetic moment: 0.37 μB/f.u.

(B)
## LaMoS2N (GGA-PBE)

Data for an optimized crystal structure of LaMoS2N.

Geometry as POSCAR:
```
LaMoS2N
1.0
5.533 0.000 0.000
0.000 5.533 0.000
0.000 0.000 4.228
La Mo S N
1 1 2 1
direct
0.000 0.000 0.000
0.500 0.500 0.500
0.000 0.500 0.000
0.500 0.000 0.000
0.000 0.000 0.500
```

## Properties
magnetic moment: 2.84 μB/f.u.

(A) is favored, and the nearest alternative lies 1757 meV per atom above it.

(A)
## NaLaMo2 (GGA-PBE)

Data for an optimized crystal structure of NaLaMo2.

Geometry as POSCAR:
```
NaLaMo2
1.0
-4.100 4.100 2.637
4.100 -4.100 2.637
4.100 4.100 -2.637
Na La Mo
2 2 4
direct
0.000 0.000 0.000
0.750 0.250 0.500
0.250 0.750 0.500
0.500 0.500 0.000
0.094 0.625 0.969
0.375 0.344 0.469
0.656 0.125 0.031
0.875 0.906 0.531
```

## Properties
magnetic moment: 0.00 μB/f.u.

(B)
## NaLaMo2 (GGA-PBE)

Data for an optimized crystal structure of NaLaMo2.

Geometry as POSCAR:
```
NaLaMo2
1.0
0.000 3.435 3.435
3.435 0.000 3.435
3.435 3.435 0.000
Na La Mo
1 1 2
direct
0.000 0.000 0.000
0.500 0.500 0.500
0.250 0.250 0.250
0.750 0.750 0.750
```

## Properties
magnetic moment: 0.00 μB/f.u.

(B) is favored, and the nearest alternative lies 82 meV per atom above it.